Model a:
Density functional theory data (GGA-PBE) for a relaxed structure of NaHF3.

Structure (CIF):
```
data_NaHF3
_cell_length_a 8.8040
_cell_length_b 10.0730
_cell_length_c 6.3893
_cell_angle_alpha 90.00
_cell_angle_beta 119.53
_cell_angle_gamma 90.00
_space_group_name_H-M_alt 'C 1 2/c 1'
_space_group_IT_number 15
_space_group_name_Hall '-C 2yc'
loop_
_atom_site_label
_atom_site_type_symbol
_atom_site_fract_x
_atom_site_fract_y
_atom_site_fract_z
Na1 Na 0.0000 0.0857 0.2500
Na2 Na 0.0000 0.4012 0.7500
H1 H 0.2121 0.1722 0.6933
F1 F 0.1030 0.2263 0.5933
F2 F 0.1466 0.4112 0.1914
F3 F 0.1882 0.0502 0.0988
```

Values from the calculation:
Total magnetic moment: 1.01 μB per formula unit
Volume: 12.33 A^3/atom

=====

Model b:
Density functional theory data (GGA-PBE) for a relaxed structure of NaHF3.

Structure (CIF):
```
data_NaHF3
_cell_length_a 3.5390
_cell_length_b 3.5390
_cell_length_c 3.5390
_cell_angle_alpha 90.00
_cell_angle_beta 90.00
_cell_angle_gamma 90.00
_space_group_name_H-M_alt 'P m -3 m'
_space_group_IT_number 221
_space_group_name_Hall '-P 4 2 3'
loop_
_atom_site_label
_atom_site_type_symbol
_atom_site_fract_x
_atom_site_fract_y
_atom_site_fract_z
Na1 Na 0.0000 0.0000 0.0000
H1 H 0.5000 0.5000 0.5000
F1 F 0.0000 0.5000 0.5000
```

Values from the calculation:
N(E_F): 5.988 states/eV/cell
Total magnetic moment: 1.00 μB per formula unit
Volume: 8.86 A^3/atom

=====

Which one sits at the top of the stability order? model a does.

=====

Model a:
Density functional theory data (GGA-PBE) for a relaxed structure of NaH2F4.

Structure (CIF):
```
data_NaH2F4
_cell_length_a 7.8412
_cell_length_b 7.8412
_cell_length_c 5.2181
_cell_angle_alpha 90.00
_cell_angle_beta 90.00
_cell_angle_gamma 90.00
_space_group_name_H-M_alt 'I -4 2 d'
_space_group_IT_number 122
_space_group_name_Hall 'I -4 2bw'
loop_
_atom_site_label
_atom_site_type_symbol
_atom_site_fract_x
_atom_site_fract_y
_atom_site_fract_z
Na1 Na 0.0000 0.0000 0.0000
H1 H 0.1050 0.7500 0.6250
F1 F 0.0973 0.7447 0.8441
```

Values from the calculation:
N(E_F): 12.965 states/eV/cell
Total magnetic moment: 1.00 μB per formula unit
Volume: 11.46 A^3/atom

=====

Model b:
Density functional theory data (GGA-PBE) for a relaxed structure of NaH2F4.

Structure (CIF):
```
data_NaH2F4
_cell_length_a 8.4335
_cell_length_b 12.2747
_cell_length_c 6.0971
_cell_angle_alpha 90.00
_cell_angle_beta 90.00
_cell_angle_gamma 90.00
_space_group_name_H-M_alt 'F d d 2'
_space_group_IT_number 43
_space_group_name_Hall 'F 2 -2d'
loop_
_atom_site_label
_atom_site_type_symbol
_atom_site_fract_x
_atom_site_fract_y
_atom_site_fract_z
Na1 Na 0.0000 0.0000 0.0000
H1 H 0.0047 0.1140 0.4916
F1 F 0.0669 0.3842 0.1621
F2 F 0.0693 0.1135 0.3358
```

Values from the calculation:
N(E_F): 9.061 states/eV/cell
Total magnetic moment: 1.00 μB per formula unit
Volume: 11.27 A^3/atom

=====

Which one sits at the top of the stability order? model b does.

=====

Model a:
Density functional theory data (GGA-PBE) for a relaxed structure of NdHF.

Structure (CIF):
```
data_NdHF
_cell_length_a 3.3597
_cell_length_b 3.3597
_cell_length_c 7.2874
_cell_angle_alpha 90.00
_cell_angle_beta 90.00
_cell_angle_gamma 90.00
_space_group_name_H-M_alt 'I 4 m m'
_space_group_IT_number 107
_space_group_name_Hall 'I 4 -2'
loop_
_atom_site_label
_atom_site_type_symbol
_atom_site_fract_x
_atom_site_fract_y
_atom_site_fract_z
Nd1 Nd 0.0000 0.0000 0.0000
H1 H 0.0000 0.0000 0.3568
F1 F 0.0000 0.0000 0.6735
```

Values from the calculation:
N(E_F): 2.025 states/eV/cell
Total magnetic moment: 0.29 μB per formula unit
Volume: 13.71 A^3/atom

=====

Model b:
Density functional theory data (GGA-PBE) for a relaxed structure of NdHF.

Structure (CIF):
```
data_NdHF
_cell_length_a 3.9071
_cell_length_b 3.9071
_cell_length_c 19.9241
_cell_angle_alpha 90.00
_cell_angle_beta 90.00
_cell_angle_gamma 120.00
_space_group_name_H-M_alt 'R -3 m'
_space_group_IT_number 166
_space_group_name_Hall '-R 3 2"'
loop_
_atom_site_label
_atom_site_type_symbol
_atom_site_fract_x
_atom_site_fract_y
_atom_site_fract_z
Nd1 Nd 0.0000 0.0000 0.2404
H1 H 0.0000 0.0000 0.1233
F1 F 0.0000 0.0000 0.3699
```

Values from the calculation:
N(E_F): 1.013 states/eV/cell
Total magnetic moment: 0.00 μB per formula unit
Volume: 14.63 A^3/atom

=====

Which one sits at the top of the stability order? model b does.